# 1
# PBE-GGA ErPaTi, relaxed
# Formation enthalpy at 0 K in eV/atom: 0.38
data_ErPaTi
_chemical_formula_sum 'Er6 Pa6 Ti6'
_cell_length_a 5.2234
_cell_length_b 5.2234
_cell_length_c 19.0280
_cell_angle_alpha 90.00
_cell_angle_beta 90.00
_cell_angle_gamma 120.00
_space_group_name_H-M_alt 'R -3 m'
_space_group_IT_number 166
_space_group_name_Hall '-R 3 2"'
loop_
_atom_site_label
_atom_site_type_symbol
_atom_site_fract_x
_atom_site_fract_y
_atom_site_fract_z
Er1 Er 0.0000 0.0000 0.1164
Pa1 Pa 0.0000 0.0000 0.3000
Ti1 Ti 0.0000 0.0000 0.4285



# 2
# PBE-GGA ErCu2Pd7, relaxed
# Formation enthalpy at 0 K in eV/atom: 0.09
data_ErCu2Pd7
_chemical_formula_sum 'Er2 Cu4 Pd14'
_cell_length_a 7.1843
_cell_length_b 12.3598
_cell_length_c 4.4328
_cell_angle_alpha 90.00
_cell_angle_beta 90.00
_cell_angle_gamma 90.00
_space_group_name_H-M_alt 'C m m m'
_space_group_IT_number 65
_space_group_name_Hall '-C 2 2'
loop_
_atom_site_label
_atom_site_type_symbol
_atom_site_fract_x
_atom_site_fract_y
_atom_site_fract_z
Er1 Er 0.0000 0.0000 0.0000
Cu1 Cu 0.0000 0.3011 0.5000
Pd1 Pd 0.0000 0.2185 0.0000
Pd2 Pd 0.0000 0.5000 0.5000
Pd3 Pd 0.1857 0.1177 0.5000



# 3
# PBE-GGA SrCd2Pd, relaxed
# Formation enthalpy at 0 K in eV/atom: -0.49
data_SrCd2Pd
_chemical_formula_sum 'Sr8 Cd16 Pd8'
_cell_length_a 16.5688
_cell_length_b 8.1525
_cell_length_c 5.8588
_cell_angle_alpha 90.00
_cell_angle_beta 90.00
_cell_angle_gamma 90.00
_space_group_name_H-M_alt 'P n m a'
_space_group_IT_number 62
loop_
_space_group_symop_operation_xyz
'x,y,z'
'-x,-y,-z'
'-x+1/2,-y,z+1/2'
'x+1/2,y,-z+1/2'
'x+1/2,-y+1/2,-z+1/2'
'-x+1/2,y+1/2,z+1/2'
'-x,y+1/2,-z'
'x,-y+1/2,z'
loop_
_atom_site_label
_atom_site_type_symbol
_atom_site_fract_x
_atom_site_fract_y
_atom_site_fract_z
Sr1 Sr 0.1054 0.2500 0.2448
Sr2 Sr 0.1385 0.7500 0.4571
Cd1 Cd 0.0386 0.0577 0.7523
Cd2 Cd 0.2119 0.5541 0.9473
Pd1 Pd 0.0696 0.7500 0.9722
Pd2 Pd 0.1859 0.2500 0.7247



# 4
# PBE-GGA La5Pm2DySc, relaxed
# Formation enthalpy at 0 K in eV/atom: 0.28
data_La5Pm2DySc
_chemical_formula_sum 'La20 Pm8 Dy4 Sc4'
_cell_length_a 8.4835
_cell_length_b 8.4835
_cell_length_c 17.6032
_cell_angle_alpha 90.00
_cell_angle_beta 90.00
_cell_angle_gamma 90.00
_space_group_name_H-M_alt 'I 4/m c m'
_space_group_IT_number 140
_space_group_name_Hall '-I 4 2c'
loop_
_atom_site_label
_atom_site_type_symbol
_atom_site_fract_x
_atom_site_fract_y
_atom_site_fract_z
La1 La 0.0000 0.0000 0.0000
La2 La 0.2199 0.2801 0.1448
Pm1 Pm 0.1263 0.3737 0.5000
Dy1 Dy 0.0000 0.0000 0.2500
Sc1 Sc 0.0000 0.5000 0.2500



# 5
# PBE-GGA Nd4TlPI2, relaxed
# Formation energy from raw total energies in eV per atom: -0.966
data_Nd4TlPI2
_chemical_formula_sum 'Nd4 Tl1 P1 I2'
_cell_length_a 7.7931
_cell_length_b 4.2064
_cell_length_c 8.1780
_cell_angle_alpha 90.00
_cell_angle_beta 107.09
_cell_angle_gamma 90.00
_space_group_name_H-M_alt 'P 1 2/m 1'
_space_group_IT_number 10
loop_
_space_group_symop_operation_xyz
'x,y,z'
'-x,-y,-z'
'-x,y,-z'
'x,-y,z'
loop_
_atom_site_label
_atom_site_type_symbol
_atom_site_fract_x
_atom_site_fract_y
_atom_site_fract_z
Nd1 Nd 0.2110 0.0000 0.1966
Nd2 Nd 0.2320 0.5000 0.7876
Tl1 Tl 0.5000 0.0000 0.0000
P1 P 0.0000 0.5000 0.0000
I1 I 0.0000 0.0000 0.5000
I2 I 0.5000 0.5000 0.5000



# 6
# PBE-GGA Rb3BeOs, relaxed
# E above lowest polymorph in meV per atom: 0
# Formation enthalpy at 0 K in eV/atom: 1.68
data_Rb3BeOs
_chemical_formula_sum 'Rb3 Be1 Os1'
_cell_length_a 6.4810
_cell_length_b 6.4810
_cell_length_c 6.4810
_cell_angle_alpha 90.00
_cell_angle_beta 90.00
_cell_angle_gamma 90.00
_space_group_name_H-M_alt 'P m -3 m'
_space_group_IT_number 221
_space_group_name_Hall '-P 4 2 3'
loop_
_atom_site_label
_atom_site_type_symbol
_atom_site_fract_x
_atom_site_fract_y
_atom_site_fract_z
Rb1 Rb 0.0000 0.0000 0.5000
Be1 Be 0.5000 0.5000 0.5000
Os1 Os 0.0000 0.0000 0.0000



# 7
# PBE-GGA Li4La3Tl4, relaxed
# E above lowest polymorph in meV per atom: 0
# Formation enthalpy at 0 K in eV/atom: -0.31
data_Li4La3Tl4
_chemical_formula_sum 'Li4 La3 Tl4'
_cell_length_a 3.6004
_cell_length_b 5.0638
_cell_length_c 16.0726
_cell_angle_alpha 80.97
_cell_angle_beta 83.57
_cell_angle_gamma 90.00
_space_group_name_H-M_alt 'P -1'
_space_group_IT_number 2
loop_
_space_group_symop_operation_xyz
'x,y,z'
'-x,-y,-z'
loop_
_atom_site_label
_atom_site_type_symbol
_atom_site_fract_x
_atom_site_fract_y
_atom_site_fract_z
Li1 Li 0.0926 0.0933 0.3127
Li2 Li 0.2410 0.7411 0.0174
La1 La 0.3565 0.3567 0.7874
La2 La 0.5000 0.0000 0.5000
Tl1 Tl 0.0508 0.5508 0.3979
Tl2 Tl 0.1868 0.1863 0.1267



# 8
# PBE-GGA TaInFe2, relaxed
# Formation enthalpy at 0 K in eV/atom: 0.21
data_TaInFe2
_chemical_formula_sum 'Ta1 In1 Fe2'
_cell_length_a 2.7853
_cell_length_b 4.2540
_cell_length_c 5.4747
_cell_angle_alpha 90.00
_cell_angle_beta 104.68
_cell_angle_gamma 90.00
_space_group_name_H-M_alt 'P 1 m 1'
_space_group_IT_number 6
loop_
_space_group_symop_operation_xyz
'x,y,z'
'x,-y,z'
loop_
_atom_site_label
_atom_site_type_symbol
_atom_site_fract_x
_atom_site_fract_y
_atom_site_fract_z
Ta1 Ta 0.0000 0.0000 0.0000
In1 In 0.3808 0.5000 0.6888
Fe1 Fe 0.5294 0.5000 0.2204
Fe2 Fe 0.8863 0.0000 0.4460